Computed, not measured: Th2Co7 after structural relaxation at the PBE level of DFT.

Cell and atoms, written as CIF:
```
data_Th2Co7
_chemical_formula_sum 'Th4 Co14'
_space_group_name_H-M_alt 'P 1'
_space_group_IT_number 1
_space_group_name_Hall 'P 1'
_cell_length_a 12.763
_cell_length_b 12.763
_cell_length_c 12.763
_cell_angle_alpha 22.41
_cell_angle_beta 22.41
_cell_angle_gamma 22.41
loop_
_atom_site_label
_atom_site_type_symbol
_atom_site_fract_x
_atom_site_fract_y
_atom_site_fract_z
Th1 Th 0.051 0.051 0.051
Th2 Th 0.146 0.146 0.146
Th3 Th 0.854 0.854 0.854
Th4 Th 0.949 0.949 0.949
Co1 Co 0.000 0.500 0.500
Co2 Co 0.110 0.607 0.607
Co3 Co 0.278 0.278 0.278
Co4 Co 0.388 0.388 0.388
Co5 Co 0.393 0.393 0.890
Co6 Co 0.393 0.890 0.393
Co7 Co 0.500 0.000 0.500
Co8 Co 0.500 0.500 0.000
Co9 Co 0.500 0.500 0.500
Co10 Co 0.607 0.110 0.607
Co11 Co 0.607 0.607 0.110
Co12 Co 0.612 0.612 0.612
Co13 Co 0.722 0.722 0.722
Co14 Co 0.890 0.393 0.393
```

## Properties
- Crystal system: trigonal

Computed, not measured: ThCo6 after structural relaxation at the PBE level of DFT.

Cell and atoms, written as CIF:
```
data_ThCo6
_chemical_formula_sum 'Th4 Co24'
_space_group_name_H-M_alt 'P 1'
_space_group_IT_number 1
_space_group_name_Hall 'P 1'
_cell_length_a 7.861
_cell_length_b 4.851
_cell_length_c 9.991
_cell_angle_alpha 90.00
_cell_angle_beta 90.00
_cell_angle_gamma 90.00
loop_
_atom_site_label
_atom_site_type_symbol
_atom_site_fract_x
_atom_site_fract_y
_atom_site_fract_z
Th1 Th 0.241 0.250 0.057
Th2 Th 0.259 0.750 0.557
Th3 Th 0.741 0.250 0.443
Th4 Th 0.759 0.750 0.943
Co1 Co 0.067 0.750 0.094
Co2 Co 0.069 0.009 0.308
Co3 Co 0.069 0.491 0.308
Co4 Co 0.102 0.250 0.523
Co5 Co 0.142 0.750 0.850
Co6 Co 0.183 0.250 0.757
Co7 Co 0.317 0.750 0.257
Co8 Co 0.358 0.250 0.350
Co9 Co 0.398 0.750 0.023
Co10 Co 0.431 0.509 0.808
Co11 Co 0.431 0.991 0.808
Co12 Co 0.433 0.250 0.594
Co13 Co 0.567 0.750 0.406
Co14 Co 0.569 0.009 0.192
Co15 Co 0.569 0.491 0.192
Co16 Co 0.602 0.250 0.977
Co17 Co 0.642 0.750 0.650
Co18 Co 0.683 0.250 0.743
Co19 Co 0.817 0.750 0.243
Co20 Co 0.858 0.250 0.150
Co21 Co 0.898 0.750 0.477
Co22 Co 0.931 0.509 0.692
Co23 Co 0.931 0.991 0.692
Co24 Co 0.933 0.250 0.906
```

## Properties
- ΔE to the lowest computed polymorph: 0.000 eV/atom
- Crystal system: orthorhombic

Computed, not measured: Th5Co2 after structural relaxation at the PBE level of DFT.

Cell and atoms, written as CIF:
```
data_Th5Co2
_chemical_formula_sum 'Th10 Co4'
_space_group_name_H-M_alt 'P 1'
_space_group_IT_number 1
_space_group_name_Hall 'P 1'
_cell_length_a 8.949
_cell_length_b 8.949
_cell_length_c 6.999
_cell_angle_alpha 95.64
_cell_angle_beta 95.64
_cell_angle_gamma 41.10
loop_
_atom_site_label
_atom_site_type_symbol
_atom_site_fract_x
_atom_site_fract_y
_atom_site_fract_z
Th1 Th 0.085 0.915 0.750
Th2 Th 0.121 0.305 0.320
Th3 Th 0.305 0.121 0.820
Th4 Th 0.318 0.490 0.090
Th5 Th 0.490 0.318 0.590
Th6 Th 0.510 0.682 0.410
Th7 Th 0.682 0.510 0.910
Th8 Th 0.695 0.879 0.180
Th9 Th 0.879 0.695 0.680
Th10 Th 0.915 0.085 0.250
Co1 Co 0.073 0.715 0.413
Co2 Co 0.285 0.927 0.087
Co3 Co 0.715 0.073 0.913
Co4 Co 0.927 0.285 0.587
```

## Properties
- Crystal system: monoclinic

Q: Which density values were calculated for the entries above? A: 10.990; 10.208; 11.584, in Mg/m³.
Q: Which final energy values were calculated for the entries above? A: -7.35; -7.22; -7.55, in eV/atom.